Run i
DFT (PBE) results for crystalline Mn2CdCl at its relaxed geometry.

The structure belongs to space group Amm2 (No. 38); the cell edges are 4.392, 3.052 and 11.123 Å and the angles 90.00°, 90.00° and 90.00°. The distinct sites, in fractional coordinates, are Mn at (0.000, 0.000, 0.000), Mn at (0.500, 0.000, 0.378), Cd at (0.500, 0.000, 0.624) and Cl at (0.000, 0.000, 0.316).

For the calculated density, the calculation gives 5741 kg/m³. The calculation puts the total magnetization at 1.8536 μB/atom.

---

Run ii
DFT (PBE) results for crystalline Mn2CdCl at its relaxed geometry.

The structure belongs to space group I4/mmm (No. 139); the cell edges are 4.192, 4.192 and 8.837 Å and the angles 90.00°, 90.00° and 90.00°. The distinct sites, in fractional coordinates, are Mn at (0.000, 0.500, 0.250), Cd at (0.000, 0.000, 0.000) and Cl at (0.000, 0.000, 0.500).

For the calculated density, the calculation gives 5513 kg/m³. The calculation puts the total magnetization at 2.1511 μB/atom.

---

Q: Which of them is the most stable? A: run i.

---

Run i
DFT (PBE) results for crystalline LiLaBr2 at its relaxed geometry.

The structure belongs to space group Pm (No. 6); the cell edges are 3.767, 3.780 and 7.784 Å and the angles 90.00°, 90.06° and 90.00°. The distinct sites, in fractional coordinates, are Li at (0.000, 0.000, 0.000), La at (0.500, 0.500, 0.617), Br at (0.500, 0.500, 0.005) and Br at (0.999, 0.000, 0.389).

For the calculated density, the calculation gives 4579 kg/m³. The calculation puts the total magnetization at 0.2764 μB/atom.

---

Run ii
DFT (PBE) results for crystalline LiLaBr2 at its relaxed geometry.

The structure belongs to space group Fm-3m (No. 225); the cell edges are 7.472, 7.472 and 7.472 Å and the angles 90.00°, 90.00° and 90.00°. The distinct sites, in fractional coordinates, are Li at (0.000, 0.000, 0.000), La at (0.000, 0.000, 0.500) and Br at (0.250, 0.250, 0.250).

For the calculated density, the calculation gives 4866 kg/m³. The calculation puts the total magnetization at 0.4989 μB/atom.

---

Q: Which of them is the most stable? A: run i.

---

Run i
DFT (PBE) results for crystalline RbPtBr at its relaxed geometry.

The structure belongs to space group Imm2 (No. 44); the cell edges are 3.854, 5.819 and 17.514 Å and the angles 90.00°, 90.00° and 90.00°. The distinct sites, in fractional coordinates, are Rb at (0.000, 0.000, 0.000), Rb at (0.000, 0.000, 0.240), Pt at (0.000, 0.000, 0.509), Pt at (0.000, 0.500, 0.108), Br at (0.000, 0.000, 0.709) and Br at (0.000, 0.500, 0.904).

For the calculated density, the calculation gives 6096 kg/m³. The calculation puts the total magnetization at 0.0000 μB/atom.

---

Run ii
DFT (PBE) results for crystalline RbPtBr at its relaxed geometry.

The structure belongs to space group P4/nmm (No. 129, origin choice 2); the cell edges are 5.445, 5.445 and 6.392 Å and the angles 90.00°, 90.00° and 90.00°. The distinct sites, in fractional coordinates, are Rb at (0.250, 0.250, 0.109), Pt at (0.250, 0.250, 0.587) and Br at (0.250, 0.750, 0.500).

For the calculated density, the calculation gives 6316 kg/m³. The calculation puts the total magnetization at 0.0000 μB/atom.

---

Q: Which of them is the most stable? A: run i.

---

Run i
DFT (PBE) results for crystalline LiTbGa at its relaxed geometry.

The structure belongs to space group P-6m2 (No. 187); the cell edges are 4.6968, 4.6968 and 3.3351 Å and the angles 90.00°, 90.00° and 120.00°. The distinct sites, in fractional coordinates, are Li at (0.0000, 0.0000, 0.0000), Tb at (0.6667, 0.3333, 0.5000) and Ga at (0.3333, 0.6667, 0.0000).

For the calculated density, the calculation gives 6140 kg/m³. The calculation puts the total magnetization at 0.0002 μB/atom.

---

Run ii
DFT (PBE) results for crystalline LiTbGa at its relaxed geometry.

The structure belongs to space group Pmma (No. 51); the cell edges are 4.443, 3.584 and 8.518 Å and the angles 90.00°, 90.00° and 90.00°. The distinct sites, in fractional coordinates, are Li at (0.250, 0.000, 0.087), Tb at (0.250, 0.500, 0.711) and Ga at (0.250, 0.000, 0.410).

For the calculated density, the calculation gives 5769 kg/m³. The calculation puts the total magnetization at 0.0000 μB/atom.

---

Q: Which of them is the most stable? A: run i.

---

Run i
DFT (PBE) results for crystalline AgTe2IrI at its relaxed geometry.

The structure belongs to space group P4/mmm (No. 123); the cell edges are 5.393, 5.393 and 5.408 Å and the angles 90.00°, 90.00° and 90.00°. The distinct sites, in fractional coordinates, are Ag at (0.000, 0.000, 0.000), Te at (0.000, 0.500, 0.000), Ir at (0.500, 0.500, 0.500) and I at (0.000, 0.000, 0.500).

For the calculated density, the calculation gives 7203 kg/m³. The calculation puts the total magnetization at 0.5127 μB/atom.

---

Run ii
DFT (PBE) results for crystalline AgTe2IrI at its relaxed geometry.

The structure belongs to space group P4/mmm (No. 123); the cell edges are 5.221, 5.221 and 5.678 Å and the angles 90.00°, 90.00° and 90.00°. The distinct sites, in fractional coordinates, are Ag at (0.000, 0.000, 0.000), Te at (0.000, 0.500, 0.500), Ir at (0.500, 0.500, 0.500) and I at (0.500, 0.500, 0.000).

For the calculated density, the calculation gives 7320 kg/m³. The calculation puts the total magnetization at 0.0000 μB/atom.

---

Q: Which of them is the most stable? A: run ii.

---

Run i
DFT (PBE) results for crystalline Hg2OsRh at its relaxed geometry.

The structure belongs to space group Fm-3m (No. 225); the cell edges are 6.535, 6.535 and 6.535 Å and the angles 90.00°, 90.00° and 90.00°. The distinct sites, in fractional coordinates, are Hg at (0.250, 0.250, 0.250), Os at (0.000, 0.000, 0.000) and Rh at (0.000, 0.000, 0.500).

For the calculated density, the calculation gives 16522 kg/m³. The calculation puts the total magnetization at 0.4118 μB/atom.

---

Run ii
DFT (PBE) results for crystalline Hg2OsRh at its relaxed geometry.

The structure belongs to space group Cmmm (No. 65); the cell edges are 5.963, 8.024 and 2.900 Å and the angles 90.00°, 90.00° and 90.00°. The distinct sites, in fractional coordinates, are Hg at (0.250, 0.250, 0.000), Os at (0.000, 0.000, 0.500) and Rh at (0.000, 0.500, 0.500).

For the calculated density, the calculation gives 16621 kg/m³. The calculation puts the total magnetization at 0.2085 μB/atom.

---

Q: Which of them is the most stable? A: run ii.

---

Run i
DFT (PBE) results for crystalline CoNiIr2 at its relaxed geometry.

The structure belongs to space group Cm (No. 8); the cell edges are 8.734, 2.681 and 4.448 Å and the angles 90.00°, 100.58° and 90.00°. The distinct sites, in fractional coordinates, are Co at (0.000, 0.000, 0.000), Ni at (0.250, 0.000, 0.762), Ir at (0.248, 0.500, 0.254) and Ir at (0.499, 0.000, 0.506).

For the calculated density, the calculation gives 16287 kg/m³. The calculation puts the total magnetization at 0.3300 μB/atom.

---

Run ii
DFT (PBE) results for crystalline CoNiIr2 at its relaxed geometry.

The structure belongs to space group R-3m (No. 166, hexagonal axes); the cell edges are 2.6776, 2.6776 and 25.1243 Å and the angles 90.00°, 90.00° and 120.00°. The distinct sites, in fractional coordinates, are Co at (0.0000, 0.0000, 0.0000), Ni at (0.0000, 0.0000, 0.5000) and Ir at (0.0000, 0.0000, 0.2507).

For the calculated density, the calculation gives 16033 kg/m³. The calculation puts the total magnetization at 0.5827 μB/atom.

---

Q: Which of them is the most stable? A: run i.